[1]
A plane-wave DFT calculation with PBE-GGA was carried out for an optimized crystal structure of Ti3ZnHg4.

Fermi-level density of states	5.4	states/eV/cell
uncorrected energy	-3.2440	eV/atom
total moment	0.31	μB/atom
ΔH_f (0 K)	0.03	eV per atom

```
Ti3ZnHg4
1.0
3.1022 0.0000 0.0000
0.0000 3.1022 0.0000
0.0000 0.0000 15.6685
Ti Zn Hg
3 1 4
direct
0.0000 0.0000 0.0000 Ti
0.0000 0.0000 0.2526 Ti
0.0000 0.0000 0.7474 Ti
0.0000 0.0000 0.5000 Zn
0.5000 0.5000 0.1267 Hg
0.5000 0.5000 0.3783 Hg
0.5000 0.5000 0.6217 Hg
0.5000 0.5000 0.8733 Hg
```

[2]
A plane-wave DFT calculation with PBE-GGA was carried out for an optimized crystal structure of Ti3ZnHg.

Fermi-level density of states	9.3	states/eV/cell
uncorrected energy	-4.9042	eV/atom
total moment	0.00	μB/atom
ΔH_f (0 K)	0.15	eV per atom

```
Ti3ZnHg
1.0
2.5892 -7.0935 0.0000
2.5892 7.0935 0.0000
0.0000 0.0000 4.8969
Ti Zn Hg
6 2 2
direct
0.0000 0.0000 0.0000 Ti
0.0000 0.0000 0.5000 Ti
0.0786 0.4051 0.2500 Ti
0.4051 0.0786 0.7500 Ti
0.5949 0.9214 0.2500 Ti
0.9214 0.5949 0.7500 Ti
0.1709 0.8291 0.2500 Zn
0.8291 0.1709 0.7500 Zn
0.4312 0.5688 0.7500 Hg
0.5688 0.4312 0.2500 Hg
```

[3]
A plane-wave DFT calculation with PBE-GGA was carried out for an optimized crystal structure of Ti2Zn3Hg.

Fermi-level density of states	6.0	states/eV/cell
uncorrected energy	-3.3136	eV/atom
total moment	0.00	μB/atom
ΔH_f (0 K)	0.01	eV per atom

```
Ti2Zn3Hg
1.0
-1.4122 1.4502 12.6645
1.4122 -1.4502 12.6645
1.4122 1.4502 -12.6645
Ti Zn Hg
2 3 1
direct
0.0000 0.0000 0.0000 Ti
0.7358 0.2358 0.5000 Ti
0.1604 0.6604 0.5000 Zn
0.3133 0.8133 0.5000 Zn
0.5743 0.5743 0.0000 Zn
0.4113 0.4113 0.0000 Hg
```

[4]
A plane-wave DFT calculation with PBE-GGA was carried out for an optimized crystal structure of TiZn2Hg.

Fermi-level density of states	4.1	states/eV/cell
uncorrected energy	-2.7480	eV/atom
total moment	0.00	μB/atom
ΔH_f (0 K)	-0.06	eV per atom

```
TiZn2Hg
1.0
4.1662 0.0000 0.0000
0.0000 4.1662 0.0000
0.0000 0.0000 3.8937
Ti Zn Hg
1 2 1
direct
0.0000 0.0000 0.0000 Ti
0.0000 0.5000 0.5000 Zn
0.5000 0.0000 0.5000 Zn
0.5000 0.5000 0.0000 Hg
```

[5]
A plane-wave DFT calculation with PBE-GGA was carried out for an optimized crystal structure of TiZn2Hg2.

Fermi-level density of states	3.3	states/eV/cell
uncorrected energy	-2.0234	eV/atom
total moment	0.20	μB/atom
ΔH_f (0 K)	0.19	eV per atom

```
TiZn2Hg2
1.0
-1.7299 1.7299 8.1207
1.7299 -1.7299 8.1207
1.7299 1.7299 -8.1207
Ti Zn Hg
1 2 2
direct
0.0000 0.0000 0.0000 Ti
0.2500 0.7500 0.5000 Zn
0.7500 0.2500 0.5000 Zn
0.3955 0.3955 0.0000 Hg
0.6045 0.6045 0.0000 Hg
```

[6]
A plane-wave DFT calculation with PBE-GGA was carried out for an optimized crystal structure of TiZnHg2.

Fermi-level density of states	3.2	states/eV/cell
uncorrected energy	-2.1865	eV/atom
total moment	0.00	μB/atom
ΔH_f (0 K)	0.26	eV per atom

```
TiZnHg2
1.0
-3.7383 3.7383 2.9719
3.7383 -3.7383 2.9719
3.7383 3.7383 -2.9719
Ti Zn Hg
2 2 4
direct
0.0000 0.0000 0.0000 Ti
0.7500 0.2500 0.5000 Ti
0.2500 0.7500 0.5000 Zn
0.5000 0.5000 0.0000 Zn
0.1360 0.6250 0.0110 Hg
0.3750 0.3860 0.5110 Hg
0.6140 0.1250 0.9890 Hg
0.8750 0.8640 0.4890 Hg
```

[7]
A plane-wave DFT calculation with PBE-GGA was carried out for an optimized crystal structure of Ti6ZnHg.

Fermi-level density of states	9.7	states/eV/cell
uncorrected energy	-6.1879	eV/atom
total moment	0.00	μB/atom
ΔH_f (0 K)	-0.07	eV per atom

```
Ti6ZnHg
1.0
4.0776 0.0000 0.0000
0.0000 4.0776 0.0000
0.0000 0.0000 8.1384
Ti Zn Hg
6 1 1
direct
0.0000 0.0000 0.0000 Ti
0.0000 0.0000 0.5000 Ti
0.0000 0.5000 0.2400 Ti
0.0000 0.5000 0.7600 Ti
0.5000 0.0000 0.2400 Ti
0.5000 0.0000 0.7600 Ti
0.5000 0.5000 0.0000 Zn
0.5000 0.5000 0.5000 Hg
```

[8]
A plane-wave DFT calculation with PBE-GGA was carried out for an optimized crystal structure of TiZn2Hg2.

Fermi-level density of states	5.9	states/eV/cell
uncorrected energy	-2.0330	eV/atom
total moment	0.23	μB/atom
ΔH_f (0 K)	0.18	eV per atom

```
TiZn2Hg2
1.0
7.4917 0.0000 0.0000
0.0000 7.4917 0.0000
0.0000 0.0000 3.3459
Ti Zn Hg
2 4 4
direct
0.0000 0.0000 0.0000 Ti
0.5000 0.5000 0.0000 Ti
0.1214 0.3786 0.0000 Zn
0.3786 0.8786 0.0000 Zn
0.6214 0.1214 0.0000 Zn
0.8786 0.6214 0.0000 Zn
0.1816 0.6816 0.5000 Hg
0.3184 0.1816 0.5000 Hg
0.6816 0.8184 0.5000 Hg
0.8184 0.3184 0.5000 Hg
```